one:
This record from the Alexandria database describes crystalline CuTcMo3 at its relaxed geometry. The functional is PBE-GGA.

Output
- M_tot (μB per formula unit) = 0.000
- DOS at the Fermi energy (states/eV/f.u.) = 6.06

```
data_CuTcMo3
_cell_length_a 4.671
_cell_length_b 4.671
_cell_length_c 4.671
_cell_angle_alpha 90.00
_cell_angle_beta 90.00
_cell_angle_gamma 90.00
_space_group_name_H-M_alt 'P m -3 m'
_space_group_IT_number 221
_space_group_name_Hall '-P 4 2 3'
loop_
_atom_site_label
_atom_site_fract_x
_atom_site_fract_y
_atom_site_fract_z
Cu1 0.000 0.000 0.000
Tc1 0.500 0.500 0.500
Mo1 0.000 0.500 0.500
```



two:
This record from the Alexandria database describes crystalline CuTcMo3 at its relaxed geometry. The functional is PBE-GGA.

Output
- M_tot (μB per formula unit) = 0.736
- DOS at the Fermi energy (states/eV/f.u.) = 9.26

```
data_CuTcMo3
_cell_length_a 4.451
_cell_length_b 4.451
_cell_length_c 4.451
_cell_angle_alpha 90.00
_cell_angle_beta 90.00
_cell_angle_gamma 90.00
_space_group_name_H-M_alt 'P m -3 m'
_space_group_IT_number 221
_space_group_name_Hall '-P 4 2 3'
loop_
_atom_site_label
_atom_site_fract_x
_atom_site_fract_y
_atom_site_fract_z
Cu1 0.000 0.000 0.000
Tc1 0.500 0.500 0.500
Mo1 0.000 0.000 0.500
```



Stability, highest: one



one:
This record from the Alexandria database describes crystalline CuTcMo at its relaxed geometry. The functional is PBE-GGA.

Output
- M_tot (μB per formula unit) = 0.000
- DOS at the Fermi energy (states/eV/f.u.) = 3.28

```
data_CuTcMo
_cell_length_a 2.629
_cell_length_b 2.629
_cell_length_c 12.424
_cell_angle_alpha 90.00
_cell_angle_beta 90.00
_cell_angle_gamma 90.00
_space_group_name_H-M_alt 'I 4 m m'
_space_group_IT_number 107
_space_group_name_Hall 'I 4 -2'
loop_
_atom_site_label
_atom_site_fract_x
_atom_site_fract_y
_atom_site_fract_z
Cu1 0.000 0.000 0.000
Tc1 0.000 0.000 0.659
Mo1 0.000 0.000 0.336
```



two:
This record from the Alexandria database describes crystalline CuTcMo at its relaxed geometry. The functional is PBE-GGA.

Output
- M_tot (μB per formula unit) = 0.000
- DOS at the Fermi energy (states/eV/f.u.) = 1.88

```
data_CuTcMo
_cell_length_a 3.235
_cell_length_b 3.235
_cell_length_c 8.221
_cell_angle_alpha 90.00
_cell_angle_beta 90.00
_cell_angle_gamma 90.00
_space_group_name_H-M_alt 'I 4 m m'
_space_group_IT_number 107
_space_group_name_Hall 'I 4 -2'
loop_
_atom_site_label
_atom_site_fract_x
_atom_site_fract_y
_atom_site_fract_z
Cu1 0.000 0.000 0.000
Tc1 0.000 0.000 0.330
Mo1 0.000 0.000 0.669
```



Stability, highest: two



one:
This record from the Alexandria database describes crystalline CuTcMo at its relaxed geometry. The functional is PBE-GGA.

Output
- M_tot (μB per formula unit) = 0.000
- DOS at the Fermi energy (states/eV/f.u.) = 2.31

```
data_CuTcMo
_cell_length_a 5.900
_cell_length_b 5.900
_cell_length_c 5.900
_cell_angle_alpha 90.00
_cell_angle_beta 90.00
_cell_angle_gamma 90.00
_space_group_name_H-M_alt 'F -4 3 m'
_space_group_IT_number 216
_space_group_name_Hall 'F -4 2 3'
loop_
_atom_site_label
_atom_site_fract_x
_atom_site_fract_y
_atom_site_fract_z
Cu1 0.000 0.000 0.000
Tc1 0.250 0.250 0.250
Mo1 0.000 0.000 0.500
```



two:
This record from the Alexandria database describes crystalline CuTcMo at its relaxed geometry. The functional is PBE-GGA.

Output
- M_tot (μB per formula unit) = 0.000
- DOS at the Fermi energy (states/eV/f.u.) = 1.96

```
data_CuTcMo
_cell_length_a 2.590
_cell_length_b 4.093
_cell_length_c 8.099
_cell_angle_alpha 90.00
_cell_angle_beta 90.00
_cell_angle_gamma 90.00
_space_group_name_H-M_alt 'I m m 2'
_space_group_IT_number 44
loop_
_space_group_symop_operation_xyz
'x,y,z'
'-x,-y,z'
'-x,y,z'
'x,-y,z'
'x+1/2,y+1/2,z+1/2'
'-x+1/2,-y+1/2,z+1/2'
'-x+1/2,y+1/2,z+1/2'
'x+1/2,-y+1/2,z+1/2'
loop_
_atom_site_label
_atom_site_fract_x
_atom_site_fract_y
_atom_site_fract_z
Cu1 0.000 0.000 0.000
Tc1 0.000 0.000 0.340
Mo1 0.000 0.000 0.665
```



three:
This record from the Alexandria database describes crystalline CuTcMo at its relaxed geometry. The functional is PBE-GGA.

Output
- M_tot (μB per formula unit) = 0.000
- DOS at the Fermi energy (states/eV/f.u.) = 2.83

```
data_CuTcMo
_cell_length_a 3.169
_cell_length_b 4.261
_cell_length_c 12.850
_cell_angle_alpha 90.00
_cell_angle_beta 90.00
_cell_angle_gamma 90.00
_space_group_name_H-M_alt 'F m m 2'
_space_group_IT_number 42
_space_group_name_Hall 'F 2 -2'
loop_
_atom_site_label
_atom_site_fract_x
_atom_site_fract_y
_atom_site_fract_z
Cu1 0.000 0.000 0.000
Tc1 0.000 0.000 0.335
Mo1 0.000 0.000 0.667
```



four:
This record from the Alexandria database describes crystalline CuTcMo at its relaxed geometry. The functional is PBE-GGA.

Output
- M_tot (μB per formula unit) = 0.000
- DOS at the Fermi energy (states/eV/f.u.) = 1.32

```
data_CuTcMo
_cell_length_a 4.3719
_cell_length_b 4.3719
_cell_length_c 2.6064
_cell_angle_alpha 90.00
_cell_angle_beta 90.00
_cell_angle_gamma 120.00
_space_group_name_H-M_alt 'P 3 m 1'
_space_group_IT_number 156
loop_
_space_group_symop_operation_xyz
'x,y,z'
'-y,x-y,z'
'-x+y,-x,z'
'-y,-x,z'
'-x+y,y,z'
'x,x-y,z'
loop_
_atom_site_label
_atom_site_fract_x
_atom_site_fract_y
_atom_site_fract_z
Cu1 0.0000 0.0000 0.0000
Tc1 0.3333 0.6667 0.6353
Mo1 0.6667 0.3333 0.3682
```



Stability, highest: four



one:
This record from the Alexandria database describes crystalline CuTeMo at its relaxed geometry. The functional is PBE-GGA.

Output
- M_tot (μB per formula unit) = 0.000
- DOS at the Fermi energy (states/eV/f.u.) = 1.09

```
data_CuTeMo
_cell_length_a 4.6581
_cell_length_b 4.6581
_cell_length_c 2.8425
_cell_angle_alpha 90.00
_cell_angle_beta 90.00
_cell_angle_gamma 120.00
_space_group_name_H-M_alt 'P 3 m 1'
_space_group_IT_number 156
loop_
_space_group_symop_operation_xyz
'x,y,z'
'-y,x-y,z'
'-x+y,-x,z'
'-y,-x,z'
'-x+y,y,z'
'x,x-y,z'
loop_
_atom_site_label
_atom_site_fract_x
_atom_site_fract_y
_atom_site_fract_z
Cu1 0.0000 0.0000 0.0000
Te1 0.6667 0.3333 0.6285
Mo1 0.3333 0.6667 0.5246
```



two:
This record from the Alexandria database describes crystalline CuTeMo at its relaxed geometry. The functional is PBE-GGA.

Output
- M_tot (μB per formula unit) = 0.000
- DOS at the Fermi energy (states/eV/f.u.) = 3.79

```
data_CuTeMo
_cell_length_a 3.383
_cell_length_b 3.383
_cell_length_c 8.804
_cell_angle_alpha 90.00
_cell_angle_beta 90.00
_cell_angle_gamma 90.00
_space_group_name_H-M_alt 'I 4 m m'
_space_group_IT_number 107
_space_group_name_Hall 'I 4 -2'
loop_
_atom_site_label
_atom_site_fract_x
_atom_site_fract_y
_atom_site_fract_z
Cu1 0.000 0.000 0.000
Te1 0.000 0.000 0.330
Mo1 0.000 0.000 0.664
```



three:
This record from the Alexandria database describes crystalline CuTeMo at its relaxed geometry. The functional is PBE-GGA.

Output
- M_tot (μB per formula unit) = 0.000
- DOS at the Fermi energy (states/eV/f.u.) = 3.43

```
data_CuTeMo
_cell_length_a 3.2370
_cell_length_b 3.2370
_cell_length_c 6.2301
_cell_angle_alpha 90.00
_cell_angle_beta 90.00
_cell_angle_gamma 120.00
_space_group_name_H-M_alt 'P 3 m 1'
_space_group_IT_number 156
loop_
_space_group_symop_operation_xyz
'x,y,z'
'-y,x-y,z'
'-x+y,-x,z'
'-y,-x,z'
'-x+y,y,z'
'x,x-y,z'
loop_
_atom_site_label
_atom_site_fract_x
_atom_site_fract_y
_atom_site_fract_z
Cu1 0.0000 0.0000 0.0000
Te1 0.3333 0.6667 0.6255
Mo1 0.6667 0.3333 0.3109
```



Stability, highest: two



one:
This record from the Alexandria database describes crystalline TiCuMo at its relaxed geometry. The functional is PBE-GGA.

Output
- M_tot (μB per formula unit) = 0.000
- DOS at the Fermi energy (states/eV/f.u.) = 2.11

```
data_TiCuMo
_cell_length_a 13.165
_cell_length_b 3.286
_cell_length_c 4.054
_cell_angle_alpha 90.00
_cell_angle_beta 90.09
_cell_angle_gamma 90.00
_space_group_name_H-M_alt 'C 1 2/m 1'
_space_group_IT_number 12
loop_
_space_group_symop_operation_xyz
'x,y,z'
'-x,-y,-z'
'-x,y,-z'
'x,-y,z'
'x+1/2,y+1/2,z'
'-x+1/2,-y+1/2,-z'
'-x+1/2,y+1/2,-z'
'x+1/2,-y+1/2,z'
loop_
_atom_site_label
_atom_site_fract_x
_atom_site_fract_y
_atom_site_fract_z
Ti1 0.087 0.000 0.250
Cu1 0.250 0.000 0.750
Mo1 0.087 0.500 0.750
```



two:
This record from the Alexandria database describes crystalline TiCuMo at its relaxed geometry. The functional is PBE-GGA.

Output
- M_tot (μB per formula unit) = 0.490
- DOS at the Fermi energy (states/eV/f.u.) = 3.30

```
data_TiCuMo
_cell_length_a 2.665
_cell_length_b 2.665
_cell_length_c 12.535
_cell_angle_alpha 90.00
_cell_angle_beta 90.00
_cell_angle_gamma 90.00
_space_group_name_H-M_alt 'I 4 m m'
_space_group_IT_number 107
_space_group_name_Hall 'I 4 -2'
loop_
_atom_site_label
_atom_site_fract_x
_atom_site_fract_y
_atom_site_fract_z
Ti1 0.000 0.000 0.000
Cu1 0.000 0.000 0.660
Mo1 0.000 0.000 0.321
```



Stability, highest: one



one:
This record from the Alexandria database describes crystalline TiCuMo2 at its relaxed geometry. The functional is PBE-GGA.

Output
- M_tot (μB per formula unit) = 0.000
- DOS at the Fermi energy (states/eV/f.u.) = 9.69

```
data_TiCuMo2
_cell_length_a 6.216
_cell_length_b 6.216
_cell_length_c 6.216
_cell_angle_alpha 90.00
_cell_angle_beta 90.00
_cell_angle_gamma 90.00
_space_group_name_H-M_alt 'F m -3 m'
_space_group_IT_number 225
_space_group_name_Hall '-F 4 2 3'
loop_
_atom_site_label
_atom_site_fract_x
_atom_site_fract_y
_atom_site_fract_z
Ti1 0.000 0.000 0.000
Cu1 0.000 0.000 0.500
Mo1 0.250 0.250 0.250
```



two:
This record from the Alexandria database describes crystalline TiCuMo2 at its relaxed geometry. The functional is PBE-GGA.

Output
- M_tot (μB per formula unit) = 0.000
- DOS at the Fermi energy (states/eV/f.u.) = 4.21

```
data_TiCuMo2
_cell_length_a 7.060
_cell_length_b 7.060
_cell_length_c 5.162
_cell_angle_alpha 90.00
_cell_angle_beta 90.00
_cell_angle_gamma 90.00
_space_group_name_H-M_alt 'I -4 2 d'
_space_group_IT_number 122
_space_group_name_Hall 'I -4 2bw'
loop_
_atom_site_label
_atom_site_fract_x
_atom_site_fract_y
_atom_site_fract_z
Ti1 0.000 0.000 0.000
Cu1 0.000 0.000 0.500
Mo1 0.233 0.250 0.625
```



Stability, highest: one